1.
{
  "formula": "Th6Sb5Te",
  "functional": "PBE",
  "state": "relaxed",
  "space_group": "C2/m",
  "energy_ev_per_fu": -79.43,
  "formation_energy_uncorrected_mev_per_atom": -930,
  "cell": [[3.890, -6.753, 0.000], [3.890, 6.753, 0.000], [-2.605, 0.000, 7.363]],
  "species": ["Th", "Th", "Th", "Th", "Th", "Th", "Sb", "Sb", "Sb", "Sb", "Sb", "Te"],
  "fractional_positions": [[0.079, 0.416, 0.748], [0.247, 0.247, 0.250], [0.416, 0.079, 0.748], [0.584, 0.921, 0.252], [0.753, 0.753, 0.750], [0.921, 0.584, 0.252], [0.000, 0.000, 0.500], [0.167, 0.833, 0.000], [0.335, 0.665, 0.500], [0.665, 0.335, 0.500], [0.833, 0.167, 0.000], [0.500, 0.500, 0.000]]
}

---

2.
{
  "formula": "Cs2DyPu2S6",
  "functional": "PBE",
  "state": "relaxed",
  "space_group": "C2/m",
  "energy_ev_per_fu": -78.03,
  "formation_energy_uncorrected_mev_per_atom": -1663,
  "cell": [[3.511, -6.089, 0.000], [3.511, 6.089, 0.000], [-2.304, 0.000, 8.218]],
  "species": ["Cs", "Cs", "Dy", "Pu", "Pu", "S", "S", "S", "S", "S", "S"],
  "fractional_positions": [[0.165, 0.835, 0.000], [0.835, 0.165, 0.000], [0.000, 0.000, 0.500], [0.334, 0.666, 0.500], [0.666, 0.334, 0.500], [0.056, 0.394, 0.675], [0.278, 0.278, 0.325], [0.394, 0.056, 0.675], [0.606, 0.944, 0.325], [0.722, 0.722, 0.675], [0.944, 0.606, 0.325]]
}

---

3.
{
  "formula": "TiSn3C",
  "functional": "PBE",
  "state": "relaxed",
  "space_group": "Pm-3m",
  "de_polymorph_ev_per_atom": 0.000,
  "energy_ev_per_fu": -24.33,
  "cell": [[4.703, 0.000, 0.000], [0.000, 4.703, 0.000], [0.000, 0.000, 4.703]],
  "species": ["Ti", "Sn", "Sn", "Sn", "C"],
  "fractional_positions": [[0.000, 0.000, 0.000], [0.000, 0.500, 0.500], [0.500, 0.000, 0.500], [0.500, 0.500, 0.000], [0.500, 0.500, 0.500]]
}

---

4.
{
  "formula": "TbY3Sc2As6",
  "functional": "PBE",
  "state": "relaxed",
  "space_group": "C2/m",
  "energy_ev_per_fu": -82.29,
  "cell": [[3.508, -6.076, 0.000], [3.508, 6.076, 0.000], [-2.341, 0.000, 6.609]],
  "species": ["Tb", "Y", "Y", "Y", "Sc", "Sc", "As", "As", "As", "As", "As", "As"],
  "fractional_positions": [[0.000, 0.000, 0.000], [0.164, 0.836, 0.500], [0.500, 0.500, 0.500], [0.836, 0.164, 0.500], [0.333, 0.667, 0.000], [0.667, 0.333, 0.000], [0.080, 0.422, 0.241], [0.262, 0.262, 0.761], [0.422, 0.080, 0.241], [0.578, 0.920, 0.759], [0.738, 0.738, 0.239], [0.920, 0.578, 0.759]]
}

---

5.
{
  "formula": "Rb2PuBe2O6",
  "functional": "PBE",
  "state": "relaxed",
  "space_group": "P-3m1",
  "energy_ev_per_fu": -78.74,
  "formation_energy_uncorrected_mev_per_atom": -2297,
  "cell": [[5.605, 0.000, 0.000], [-2.803, 4.854, 0.000], [0.000, 0.000, 6.727]],
  "species": ["Rb", "Rb", "Pu", "Be", "Be", "O", "O", "O", "O", "O", "O"],
  "fractional_positions": [[0.333, 0.667, 0.335], [0.667, 0.333, 0.665], [0.000, 0.000, 0.000], [0.333, 0.667, 0.834], [0.667, 0.333, 0.166], [0.175, 0.349, 0.820], [0.175, 0.825, 0.820], [0.349, 0.175, 0.180], [0.651, 0.825, 0.820], [0.825, 0.175, 0.180], [0.825, 0.651, 0.180]]
}

---

6.
{
  "formula": "AcPm8Er6",
  "functional": "PBE",
  "state": "relaxed",
  "space_group": "P-3",
  "energy_ev_per_fu": -66.40,
  "cell": [[9.550, 0.000, 0.000], [-4.775, 8.270, 0.000], [0.000, 0.000, 6.596]],
  "species": ["Ac", "Pm", "Pm", "Pm", "Pm", "Pm", "Pm", "Pm", "Pm", "Er", "Er", "Er", "Er", "Er", "Er"],
  "fractional_positions": [[0.000, 0.000, 0.000], [0.020, 0.687, 0.603], [0.313, 0.332, 0.603], [0.332, 0.020, 0.397], [0.333, 0.667, 0.328], [0.667, 0.333, 0.672], [0.668, 0.980, 0.603], [0.687, 0.668, 0.397], [0.980, 0.313, 0.397], [0.093, 0.417, 0.900], [0.324, 0.907, 0.900], [0.417, 0.324, 0.100], [0.583, 0.676, 0.900], [0.676, 0.093, 0.100], [0.907, 0.583, 0.100]]
}